1.
NdEu2Sn after structural relaxation, computed with GGA-PBE.

The structure in POSCAR format:
```
NdEu2Sn
1.0
1.846 1.066 12.113
-1.846 1.066 12.113
0.000 -2.131 12.113
Nd Eu Sn
1 2 1
direct
0.000 0.000 0.000
0.097 0.097 0.097
0.903 0.903 0.903
0.500 0.500 0.500
```

The value obtained for the uncorrected energy is -7.392 eV per atom. The space group is No. 166.

2.
NdEuSn2 after structural relaxation, computed with GGA-PBE.

The structure in POSCAR format:
```
NdEuSn2
1.0
3.562 0.000 0.000
0.000 3.562 0.000
0.000 0.000 9.176
Nd Eu Sn
1 1 2
direct
0.000 0.000 0.000
0.000 0.000 0.500
0.500 0.500 0.247
0.500 0.500 0.753
```

The value obtained for the uncorrected energy is -6.433 eV per atom. The space group is No. 123.

3.
NdEuSn2 after structural relaxation, computed with GGA-PBE.

The structure in POSCAR format:
```
NdEuSn2
1.0
0.000 3.905 3.905
3.905 0.000 3.905
3.905 3.905 0.000
Nd Eu Sn
1 1 2
direct
0.000 0.000 0.000
0.500 0.500 0.500
0.250 0.250 0.250
0.750 0.750 0.750
```

The value obtained for the uncorrected energy is -6.360 eV per atom. The space group is No. 225.

4.
NdEu2Sn after structural relaxation, computed with GGA-PBE.

The structure in POSCAR format:
```
NdEu2Sn
1.0
4.944 0.000 0.000
0.000 4.944 0.000
0.000 0.000 5.206
Nd Eu Sn
1 2 1
direct
0.000 0.000 0.000
0.000 0.500 0.500
0.500 0.000 0.500
0.500 0.500 0.000
```

The value obtained for the uncorrected energy is -7.739 eV per atom. The space group is No. 123.

5.
NdEuTlSn after structural relaxation, computed with GGA-PBE.

The structure in POSCAR format:
```
NdEuTlSn
1.0
0.000 3.918 3.918
3.918 0.000 3.918
3.918 3.918 0.000
Nd Eu Tl Sn
1 1 1 1
direct
0.000 0.000 0.000
0.500 0.500 0.500
0.250 0.250 0.250
0.750 0.750 0.750
```

The value obtained for the uncorrected energy is -5.867 eV per atom. The space group is No. 216.

6.
NdEuTmSn after structural relaxation, computed with GGA-PBE.

The structure in POSCAR format:
```
NdEuTmSn
1.0
0.000 3.892 3.892
3.892 0.000 3.892
3.892 3.892 0.000
Nd Eu Tm Sn
1 1 1 1
direct
0.000 0.000 0.000
0.750 0.750 0.750
0.500 0.500 0.500
0.250 0.250 0.250
```

The value obtained for the uncorrected energy is -6.114 eV per atom. The space group is No. 216.

7.
SrNd4Eu after structural relaxation, computed with GGA-PBE.

The structure in POSCAR format:
```
SrNd4Eu
1.0
0.000 4.971 4.971
4.971 0.000 4.971
4.971 4.971 0.000
Sr Nd Eu
1 4 1
direct
0.000 0.000 0.000
0.127 0.624 0.624
0.624 0.127 0.624
0.624 0.624 0.127
0.624 0.624 0.624
0.250 0.250 0.250
```

The value obtained for the uncorrected energy is -4.981 eV per atom. The space group is No. 216.

8.
SrNdEu after structural relaxation, computed with GGA-PBE.

The structure in POSCAR format:
```
SrNdEu
1.0
-1.946 1.946 8.406
1.946 -1.946 8.406
1.946 1.946 -8.406
Sr Nd Eu
1 1 1
direct
0.000 0.000 0.000
0.332 0.332 0.000
0.682 0.682 0.000
```

The value obtained for the uncorrected energy is -5.483 eV per atom. The space group is No. 107.

9.
SrNdEu after structural relaxation, computed with GGA-PBE.

The structure in POSCAR format:
```
SrNdEu
1.0
3.903 0.000 0.000
-1.951 3.380 0.000
0.000 0.000 9.645
Sr Nd Eu
1 1 1
direct
0.000 0.000 0.000
0.667 0.333 0.336
0.333 0.667 0.645
```

The value obtained for the uncorrected energy is -5.480 eV per atom. The space group is No. 156.

10.
SrNdEu4 after structural relaxation, computed with GGA-PBE.

The structure in POSCAR format:
```
SrNdEu4
1.0
0.000 5.074 5.074
5.074 0.000 5.074
5.074 5.074 0.000
Sr Nd Eu
1 1 4
direct
0.000 0.000 0.000
0.750 0.750 0.750
0.376 0.376 0.376
0.376 0.376 0.871
0.376 0.871 0.376
0.871 0.376 0.376
```

The value obtained for the uncorrected energy is -7.749 eV per atom. The space group is No. 216.

11.
Nd2EuTa after structural relaxation, computed with GGA-PBE.

The structure in POSCAR format:
```
Nd2EuTa
1.0
0.000 3.866 3.866
3.866 0.000 3.866
3.866 3.866 0.000
Nd Eu Ta
2 1 1
direct
0.250 0.250 0.250
0.750 0.750 0.750
0.000 0.000 0.000
0.500 0.500 0.500
```

The value obtained for the uncorrected energy is -7.410 eV per atom. The space group is No. 225.

12.
TbNdEu after structural relaxation, computed with GGA-PBE.

The structure in POSCAR format:
```
TbNdEu
1.0
-1.852 1.852 7.829
1.852 -1.852 7.829
1.852 1.852 -7.829
Tb Nd Eu
1 1 1
direct
0.000 0.000 0.000
0.348 0.348 0.000
0.672 0.672 0.000
```

The value obtained for the uncorrected energy is -6.517 eV per atom. The space group is No. 107.

For the records above, the corresponding formation energy values read -63 -671 -598 -409 -514 -235 191 92 95 176 505 40 meV per atom.